[1]
Density functional theory data (GGA-PBE) for a geometry-optimized Ga2GeS structure.

Cell lengths 3.9126, 3.7479, 5.4701 Å; angles 90.00, 90.36, 90.00 degrees
Last column: nearest neighbours and their distance in Å.
Space group Pm (No. 6)
Symmetry-distinct sites (fractional):
1 Ga 0.0000 0.0000 0.0000 (multiplicity 1)  1 S 2.50, 4 Ga 2.71-2.73
2 Ga 0.4966 0.5000 0.0504 (multiplicity 1)  2 Ge 2.70-2.80, 4 Ga 2.71-2.73
3 Ge 0.5607 0.5000 0.5418 (multiplicity 1)  2 S 2.47, 1 Ga 2.70
4 S 0.9739 0.0000 0.5432 (multiplicity 1)  2 Ge 2.47, 1 Ga 2.50

Values from the calculation:
Excess energy over the best structure of this formula in the dataset = 217 meV/atom
Formation energy from raw total energies = -0.09 eV per atom
E_tot = -0.2783 Ry per atom


[2]
Density functional theory data (GGA-PBE) for a geometry-optimized GaGeS2 structure.

Cell lengths 3.4707, 3.4707, 25.2384 Å; angles 90.00, 90.00, 120.00 degrees
Last column: nearest neighbours and their distance in Å.
Space group R-3m (No. 166, hexagonal axes)
Symmetry-distinct sites (fractional):
1 Ga 0.0000 0.0000 0.0000 (multiplicity 3)  2 S 2.78
2 Ge 0.0000 0.0000 0.5000 (multiplicity 3)  6 S 2.46
3 S 0.0000 0.0000 0.1103 (multiplicity 6)  3 Ge 2.46

Values from the calculation:
Formation energy from raw total energies = -0.09 eV per atom
E_tot = -0.2988 Ry per atom


[3]
Density functional theory data (GGA-PBE) for a geometry-optimized Ga2GeS structure.

Cell lengths 5.6573, 5.6573, 11.4764 Å; angles 90.00, 90.00, 90.00 degrees
Last column: nearest neighbours and their distance in Å.
Space group I-42d (No. 122)
Symmetry-distinct sites (fractional):
1 Ga 0.2448 0.2500 0.1250 (multiplicity 8)  2 Ge 2.44, 2 S 2.48
2 Ge 0.0000 0.0000 0.0000 (multiplicity 4)  4 Ga 2.44
3 S 0.0000 0.0000 0.5000 (multiplicity 4)  4 Ga 2.48

Values from the calculation:
Excess energy over the best structure of this formula in the dataset = 0 meV/atom
Formation energy from raw total energies = -0.30 eV per atom
E_tot = -0.2943 Ry per atom


[4]
Density functional theory data (GGA-PBE) for a geometry-optimized Ga2Ge2S structure.

Cell lengths 7.2164, 7.2164, 3.8135 Å; angles 90.00, 90.00, 90.00 degrees
Last column: nearest neighbours and their distance in Å.
Space group P4/mbm (No. 127)
Symmetry-distinct sites (fractional):
1 Ga 0.1839 0.3161 0.0000 (multiplicity 4)  2 S 2.64, 6 Ge 2.75-2.95
2 Ge 0.1215 0.6215 0.5000 (multiplicity 4)  1 Ge 2.48, 2 Ga 2.75
3 S 0.0000 0.0000 0.0000 (multiplicity 2)  4 Ga 2.64

Values from the calculation:
Formation energy from raw total energies = 0.18 eV per atom
E_tot = -0.2719 Ry per atom


[5]
Density functional theory data (GGA-PBE) for a geometry-optimized Ga2GeS structure.

Cell lengths 3.5211, 3.5211, 21.6056 Å; angles 90.00, 90.00, 120.00 degrees
Last column: nearest neighbours and their distance in Å.
Space group R3m (No. 160, hexagonal axes)
Symmetry-distinct sites (fractional):
1 Ga 0.0000 0.0000 0.0000 (multiplicity 3)  3 Ge 2.79, 3 S 2.80
2 Ga 0.0000 0.0000 0.1578 (multiplicity 3)  3 S 2.52, 3 Ge 2.77
3 Ge 0.0000 0.0000 0.5784 (multiplicity 3)  6 Ga 2.77-2.79
4 S 0.0000 0.0000 0.7555 (multiplicity 3)  6 Ga 2.52-2.80

Values from the calculation:
Excess energy over the best structure of this formula in the dataset = 250 meV/atom
Formation energy from raw total energies = -0.05 eV per atom
E_tot = -0.2759 Ry per atom


[6]
Density functional theory data (GGA-PBE) for a geometry-optimized GaGeSb2S structure.

Cell lengths 5.2504, 5.2504, 4.9944 Å; angles 90.00, 90.00, 90.00 degrees
Last column: nearest neighbours and their distance in Å.
Space group P4/mmm (No. 123)
Symmetry-distinct sites (fractional):
1 Ga 0.0000 0.0000 0.0000 (multiplicity 1)  8 Sb 3.62, 4 Ge 3.71
2 Ge 0.5000 0.5000 0.0000 (multiplicity 1)  2 S 2.50
3 Sb 0.0000 0.5000 0.5000 (multiplicity 2)  2 S 2.63
4 S 0.5000 0.5000 0.5000 (multiplicity 1)  2 Ge 2.50, 4 Sb 2.63

Values from the calculation:
Formation energy from raw total energies = 0.50 eV per atom
E_tot = -0.2573 Ry per atom